# 1
Below is an optimized crystal structure of Sr2Li2Pd, with properties calculated at the PBE level.

Values from the calculation:
Total moment ... 0.000 μB per atom
Crystal system ... tetragonal
Distance to the lowest polymorph of the same formula ... 204 meV/atom
Theoretical density ... 3.4 g cm⁻³

abc: 5.7790 5.7790 5.7790
angles: 115.07 115.07 98.78
Sites, in units of the cell vectors:
Sr 0.2500 0.7500 0.5000
Sr 0.7500 0.2500 0.5000
Li 0.1674 0.1674 0.0000
Li 0.8326 0.8326 0.0000
Pd 0.5000 0.5000 0.0000

---

# 2
Below is an optimized crystal structure of SrLi9Pd2, with properties calculated at the PBE level.

Values from the calculation:
Total moment ... 0.000 μB per atom
Crystal system ... tetragonal
Calculated total energy ... -2.64 eV per atom
Theoretical density ... 2.6 g cm⁻³

abc: 8.7836 8.7836 8.7836
angles: 100.02 100.02 130.68
Sites, in units of the cell vectors:
Sr 0.3750 0.6250 0.7500
Sr 0.6250 0.3750 0.2500
Li 0.1250 0.8750 0.2500
Li 0.1500 0.5787 0.3243
Li 0.1500 0.8257 0.5713
Li 0.1743 0.2455 0.3243
Li 0.1743 0.8500 0.9287
Li 0.2455 0.1743 0.8243
Li 0.2455 0.4213 0.0713
Li 0.4213 0.2455 0.5713
Li 0.4213 0.8500 0.1757
Li 0.5787 0.1500 0.8243
Li 0.5787 0.7545 0.4287
Li 0.7545 0.5787 0.9287
Li 0.7545 0.8257 0.1757
Li 0.8257 0.1500 0.0713
Li 0.8257 0.7545 0.6757
Li 0.8500 0.1743 0.4287
Li 0.8500 0.4213 0.6757
Li 0.8750 0.1250 0.7500
Pd 0.0000 0.0000 0.0000
Pd 0.0000 0.0000 0.5000
Pd 0.0000 0.5000 0.0000
Pd 0.5000 0.0000 0.5000

---

# 3
Below is an optimized crystal structure of Sr3Li2Pd7, with properties calculated at the PBE level.

Values from the calculation:
Total moment ... 0.000 μB per atom
Crystal system ... trigonal
Calculated total energy ... -4.35 eV per atom
Theoretical density ... 7.2 g cm⁻³

abc: 9.2403 9.2403 9.2403
angles: 35.23 35.23 35.23
Sites, in units of the cell vectors:
Sr 0.0000 0.0000 0.0000
Sr 0.1401 0.1401 0.1401
Sr 0.8599 0.8599 0.8599
Li 0.3347 0.3347 0.3347
Li 0.6653 0.6653 0.6653
Pd 0.0774 0.5806 0.5806
Pd 0.4194 0.4194 0.9226
Pd 0.4194 0.9226 0.4194
Pd 0.5000 0.5000 0.5000
Pd 0.5806 0.0774 0.5806
Pd 0.5806 0.5806 0.0774
Pd 0.9226 0.4194 0.4194

---

# 4
Below is an optimized crystal structure of Sr5Li2Pd, with properties calculated at the PBE level.

Values from the calculation:
Total moment ... 0.000 μB per atom
Crystal system ... monoclinic
Calculated total energy ... -2.31 eV per atom
Theoretical density ... 2.9 g cm⁻³

abc: 10.3657 10.3657 9.2342
angles: 97.18 97.18 41.19
Sites, in units of the cell vectors:
Sr 0.1219 0.8781 0.7500
Sr 0.1264 0.3185 0.3068
Sr 0.2675 0.5346 0.0737
Sr 0.3185 0.1264 0.8068
Sr 0.4654 0.7325 0.4263
Sr 0.5346 0.2675 0.5737
Sr 0.6815 0.8736 0.1932
Sr 0.7325 0.4654 0.9263
Sr 0.8736 0.6815 0.6932
Sr 0.8781 0.1219 0.2500
Li 0.0668 0.7246 0.4278
Li 0.2754 0.9332 0.0722
Li 0.7246 0.0668 0.9278
Li 0.9332 0.2754 0.5722
Pd 0.0000 0.5000 0.0000
Pd 0.5000 0.0000 0.5000

---

# 5
Below is an optimized crystal structure of SrLiTbPd, with properties calculated at the PBE level.

Values from the calculation:
Total moment ... 0.000 μB per atom
Crystal system ... cubic
Calculated total energy ... -3.60 eV per atom
Theoretical density ... 5.9 g cm⁻³

abc: 5.2261 5.2261 5.2261
angles: 60.00 60.00 60.00
Sites, in units of the cell vectors:
Sr 0.0000 0.0000 0.0000
Li 0.7500 0.7500 0.7500
Tb 0.5000 0.5000 0.5000
Pd 0.2500 0.2500 0.2500

---

# 6
Below is an optimized crystal structure of SrLiTl2Pd, with properties calculated at the PBE level.

Values from the calculation:
Total moment ... 0.000 μB per atom
Crystal system ... tetragonal
Calculated total energy ... -2.95 eV per atom
Theoretical density ... 7.3 g cm⁻³

abc: 5.3833 5.3833 4.8101
angles: 90.00 90.00 90.00
Sites, in units of the cell vectors:
Sr 0.0000 0.0000 0.0000
Li 0.5000 0.5000 0.0000
Tl 0.0000 0.5000 0.5000
Tl 0.5000 0.0000 0.5000
Pd 0.5000 0.5000 0.5000

---

# 7
Below is an optimized crystal structure of SrLiTlPd3, with properties calculated at the PBE level.

Values from the calculation:
Total moment ... 0.000 μB per atom
Crystal system ... orthorhombic
Calculated total energy ... -3.94 eV per atom
Theoretical density ... 8.3 g cm⁻³

abc: 7.1296 7.1296 6.3573
angles: 90.00 90.00 129.98
Sites, in units of the cell vectors:
Sr 0.1872 0.8128 0.7500
Sr 0.8128 0.1872 0.2500
Li 0.4213 0.5787 0.7500
Li 0.5787 0.4213 0.2500
Tl 0.1459 0.8541 0.2500
Tl 0.8541 0.1459 0.7500
Pd 0.2370 0.2370 0.0000
Pd 0.2370 0.2370 0.5000
Pd 0.3610 0.6390 0.2500
Pd 0.6390 0.3610 0.7500
Pd 0.7630 0.7630 0.0000
Pd 0.7630 0.7630 0.5000

---

# 8
Below is an optimized crystal structure of Sr2LiTlPd, with properties calculated at the PBE level.

Values from the calculation:
Total moment ... 0.000 μB per atom
Crystal system ... tetragonal
Distance to the lowest polymorph of the same formula ... 396 meV/atom
Theoretical density ... 5.2 g cm⁻³

abc: 5.7454 5.7454 4.7599
angles: 90.00 90.00 90.00
Sites, in units of the cell vectors:
Sr 0.0000 0.5000 0.0000
Sr 0.5000 0.0000 0.0000
Li 0.0000 0.0000 0.0000
Tl 0.0000 0.0000 0.5000
Pd 0.5000 0.5000 0.5000